Below is a geometry-optimized Sm8Si3Te4As structure, with properties calculated at the GGA-PBE level.

Unit cell a=8.778 b=8.778 c=8.778 alpha=58.73 beta=58.73 gamma=58.73
Fractional positions:
Sm  0.237  0.742  0.742
Sm  0.241  0.241  0.241
Sm  0.258  0.258  0.763
Sm  0.258  0.763  0.258
Sm  0.742  0.237  0.742
Sm  0.742  0.742  0.237
Sm  0.759  0.759  0.759
Sm  0.763  0.258  0.258
Si  0.000  0.000  0.500
Si  0.000  0.500  0.000
Si  0.500  0.000  0.000
Te  0.000  0.000  0.000
Te  0.000  0.500  0.500
Te  0.500  0.000  0.500
Te  0.500  0.500  0.000
As  0.500  0.500  0.500

Results
V: 29.0 A^3/atom
D(E_F): 0.22 states/eV per atom
SG: R-3m (166)
Formation energy (no corrections): -1908 kJ/mol of formula units